i:
A plane-wave DFT calculation with PBE-GGA was carried out for a geometry-optimized LiZn6Pd2 structure.

Space group: No. 12
Spin magnetization in μB per cell: 0.00

Cell: 4.3123 4.3166 8.0192 Å, 89.94 89.99 119.98°
Element x y z (fractional)
Pd: 0.6664 0.3329 0.2691
Pd: 0.3336 0.6671 0.7309
Zn: 0.0003 0.0006 0.8278
Zn: 0.9997 0.9994 0.1722
Li: 0.0000 0.0000 0.5000
Zn: 0.6668 0.3335 0.5978
Zn: 0.3331 0.6663 0.0666
Zn: 0.3332 0.6665 0.4022
Zn: 0.6669 0.3337 0.9334

ii:
A plane-wave DFT calculation with PBE-GGA was carried out for a geometry-optimized LiZn6Pd2 structure.

Space group: No. 12
Spin magnetization in μB per cell: 0.00

Cell: 6.8404 5.0755 5.0755 Å, 60.76 109.96 109.96°
Element x y z (fractional)
Zn: 0.6320 0.1584 0.6638
Zn: 0.8465 0.2447 0.2447
Zn: 0.6320 0.6638 0.1584
Pd: 0.2571 0.3108 0.3108
Zn: 0.3680 0.8416 0.3362
Zn: 0.1535 0.7553 0.7553
Li: 0.0000 0.0000 0.0000
Zn: 0.3680 0.3362 0.8416
Pd: 0.7429 0.6892 0.6892

The energetic minimum among the shown structures is i; the next structure lies 54 meV/atom above.